# 1
# LaZr3Mn, optimized geometry, DFT PBE
data_LaZr3Mn
_space_group_name_H-M_alt 'P 1'
_space_group_IT_number 1
_space_group_name_Hall 'P 1'
_cell_length_a 5.090
_cell_length_b 5.090
_cell_length_c 5.090
_cell_angle_alpha 90.00
_cell_angle_beta 90.00
_cell_angle_gamma 90.00
loop_
_atom_site_label
_atom_site_type_symbol
_atom_site_fract_x
_atom_site_fract_y
_atom_site_fract_z
_atom_site_occupancy
La1 La 0.000 0.000 0.000 1
Zr1 Zr 0.000 0.000 0.500 1
Zr2 Zr 0.000 0.500 0.000 1
Zr3 Zr 0.500 0.000 0.000 1
Mn1 Mn 0.500 0.500 0.500 1
# - formation energy from the elements (meV per atom) = 1870
# - N(E_F) (states/eV/cell) = 17.846
# - ΔE to the lowest computed polymorph (meV/atom) = 1660.9

---

# 2
# Sc3TeSe2, optimized geometry, DFT PBE
data_Sc3TeSe2
_space_group_name_H-M_alt 'P 1'
_space_group_IT_number 1
_space_group_name_Hall 'P 1'
_cell_length_a 7.575
_cell_length_b 7.575
_cell_length_c 7.575
_cell_angle_alpha 124.81
_cell_angle_beta 92.86
_cell_angle_gamma 112.29
loop_
_atom_site_label
_atom_site_type_symbol
_atom_site_fract_x
_atom_site_fract_y
_atom_site_fract_z
_atom_site_occupancy
Sc1 Sc 0.000 0.215 0.215 1
Sc2 Sc 0.000 0.785 0.785 1
Sc3 Sc 0.500 0.000 0.000 1
Sc4 Sc 0.500 0.215 0.715 1
Sc5 Sc 0.500 0.500 0.500 1
Sc6 Sc 0.500 0.785 0.285 1
Te1 Te 0.193 0.943 0.250 1
Te2 Te 0.807 0.057 0.750 1
Se1 Se 0.258 0.707 0.552 1
Se2 Se 0.345 0.293 0.052 1
Se3 Se 0.655 0.707 0.948 1
Se4 Se 0.742 0.293 0.448 1
# - ΔE_f (raw) (eV per formula unit) = -7.2
# - N(E_F) (states/eV/cell) = 9.316
# - ΔE to the lowest computed polymorph (meV/atom) = 215.1

---

# 3
# TlAgSe2, optimized geometry, DFT PBE
data_TlAgSe2
_space_group_name_H-M_alt 'P 1'
_space_group_IT_number 1
_space_group_name_Hall 'P 1'
_cell_length_a 4.238
_cell_length_b 4.238
_cell_length_c 10.494
_cell_angle_alpha 90.00
_cell_angle_beta 90.00
_cell_angle_gamma 90.00
loop_
_atom_site_label
_atom_site_type_symbol
_atom_site_fract_x
_atom_site_fract_y
_atom_site_fract_z
_atom_site_occupancy
Tl1 Tl 0.000 0.000 0.000 1
Tl2 Tl 0.500 0.500 0.500 1
Ag1 Ag 0.000 0.000 0.500 1
Ag2 Ag 0.500 0.500 0.000 1
Se1 Se 0.000 0.500 0.250 1
Se2 Se 0.000 0.500 0.750 1
Se3 Se 0.500 0.000 0.250 1
Se4 Se 0.500 0.000 0.750 1
# - ΔE_f (raw) (eV per formula unit) = 0.8
# - N(E_F) (states/eV/cell) = 3.549

---

# 4
# Dy3Al2Ni7, optimized geometry, DFT PBE
data_Dy3Al2Ni7
_space_group_name_H-M_alt 'P 1'
_space_group_IT_number 1
_space_group_name_Hall 'P 1'
_cell_length_a 8.449
_cell_length_b 8.449
_cell_length_c 8.449
_cell_angle_alpha 35.53
_cell_angle_beta 35.53
_cell_angle_gamma 35.53
loop_
_atom_site_label
_atom_site_type_symbol
_atom_site_fract_x
_atom_site_fract_y
_atom_site_fract_z
_atom_site_occupancy
Dy1 Dy 0.000 0.000 0.000 1
Dy2 Dy 0.140 0.140 0.140 1
Dy3 Dy 0.860 0.860 0.860 1
Al1 Al 0.333 0.333 0.333 1
Al2 Al 0.667 0.667 0.667 1
Ni1 Ni 0.085 0.581 0.581 1
Ni2 Ni 0.419 0.419 0.915 1
Ni3 Ni 0.419 0.915 0.419 1
Ni4 Ni 0.500 0.500 0.500 1
Ni5 Ni 0.581 0.085 0.581 1
Ni6 Ni 0.581 0.581 0.085 1
Ni7 Ni 0.915 0.419 0.419 1
# - formation energy from the elements (meV per atom) = -530
# - N(E_F) (states/eV/cell) = 8.671

---

# 5
# Mn2CuOsI, optimized geometry, DFT PBE
data_Mn2CuOsI
_space_group_name_H-M_alt 'P 1'
_space_group_IT_number 1
_space_group_name_Hall 'P 1'
_cell_length_a 4.801
_cell_length_b 4.801
_cell_length_c 4.622
_cell_angle_alpha 90.00
_cell_angle_beta 90.00
_cell_angle_gamma 90.00
loop_
_atom_site_label
_atom_site_type_symbol
_atom_site_fract_x
_atom_site_fract_y
_atom_site_fract_z
_atom_site_occupancy
Mn1 Mn 0.000 0.500 0.000 1
Mn2 Mn 0.500 0.000 0.000 1
Cu1 Cu 0.000 0.000 0.500 1
Os1 Os 0.500 0.500 0.500 1
I1 I 0.000 0.000 0.000 1
# - ΔE_f (raw) (eV per formula unit) = 10.1
# - N(E_F) (states/eV/cell) = 4.613

---

# 6
# MgCo2Pt, optimized geometry, DFT PBE
data_MgCo2Pt
_space_group_name_H-M_alt 'P 1'
_space_group_IT_number 1
_space_group_name_Hall 'P 1'
_cell_length_a 2.818
_cell_length_b 2.818
_cell_length_c 6.908
_cell_angle_alpha 90.00
_cell_angle_beta 90.00
_cell_angle_gamma 90.00
loop_
_atom_site_label
_atom_site_type_symbol
_atom_site_fract_x
_atom_site_fract_y
_atom_site_fract_z
_atom_site_occupancy
Mg1 Mg 0.000 0.000 0.000 1
Co1 Co 0.000 0.000 0.536 1
Co2 Co 0.500 0.500 0.725 1
Pt1 Pt 0.500 0.500 0.276 1
# - formation energy from the elements (meV per atom) = -168
# - N(E_F) (states/eV/cell) = 3.725